1.
Material: CsAs2HBr
Method: DFT, GGA-PBE
State: optimized geometry

abc: 6.1625 6.1625 6.4441
angles: 90.00 90.00 90.00
Sites, in units of the cell vectors:
Cs: 0.0000 0.0000 0.0000
As: 0.0000 0.5000 0.0000
As: 0.5000 0.0000 0.0000
H: 0.5000 0.5000 0.5000
Br: 0.0000 0.0000 0.5000

Total energy ... -8.4 eV for the cell shown

---

2.
Material: CsAs2HBr
Method: DFT, GGA-PBE
State: optimized geometry

abc: 4.4258 4.4258 7.9573
angles: 90.00 90.00 90.00
Sites, in units of the cell vectors:
Cs: 0.0000 0.0000 0.0000
As: 0.0000 0.5000 0.5000
As: 0.5000 0.0000 0.5000
H: 0.5000 0.5000 0.5000
Br: 0.5000 0.5000 0.0000

Total energy ... -14.2 eV for the cell shown

---

3.
Material: CsHfAsBr2
Method: DFT, GGA-PBE
State: optimized geometry

abc: 6.1680 6.1680 5.9041
angles: 90.00 90.00 90.00
Sites, in units of the cell vectors:
Cs: 0.0000 0.0000 0.0000
Hf: 0.5000 0.5000 0.5000
As: 0.0000 0.0000 0.5000
Br: 0.0000 0.5000 0.0000
Br: 0.5000 0.0000 0.0000

Total energy ... -13.4 eV for the cell shown
ΔE_f (raw) ... 1.088 eV/atom

---

4.
Material: Cs2HfAsBr6
Method: DFT, GGA-PBE
State: optimized geometry

abc: 8.4993 8.4993 8.4993
angles: 120.12 120.12 89.79
Sites, in units of the cell vectors:
Cs: 0.2500 0.7500 0.5000
Cs: 0.7500 0.2500 0.5000
Hf: 0.0000 0.0000 0.0000
As: 0.5000 0.5000 0.0000
Br: 0.2182 0.2182 0.0000
Br: 0.2190 0.2190 0.4381
Br: 0.2190 0.7810 0.0000
Br: 0.7810 0.2190 0.0000
Br: 0.7810 0.7810 0.5619
Br: 0.7818 0.7818 0.0000

Total energy ... -38.0 eV for the cell shown
ΔE_f (raw) ... -1.167 eV/atom

---

5.
Material: CsHfAsBr2
Method: DFT, GGA-PBE
State: optimized geometry

abc: 5.5539 5.5539 5.1733
angles: 90.00 90.00 90.00
Sites, in units of the cell vectors:
Cs: 0.0000 0.0000 0.0000
Hf: 0.5000 0.5000 0.5000
As: 0.5000 0.5000 0.0000
Br: 0.0000 0.5000 0.5000
Br: 0.5000 0.0000 0.5000

Total energy ... -23.6 eV for the cell shown
ΔE_f (raw) ... -0.957 eV/atom

---

6.
Material: CsHgAsBr2
Method: DFT, GGA-PBE
State: optimized geometry

abc: 6.0676 6.0676 5.2465
angles: 90.00 90.00 90.00
Sites, in units of the cell vectors:
Cs: 0.0000 0.0000 0.0000
Hg: 0.5000 0.5000 0.5000
As: 0.5000 0.5000 0.0000
Br: 0.0000 0.5000 0.5000
Br: 0.5000 0.0000 0.5000

Total energy ... -11.4 eV for the cell shown
ΔE_f (raw) ... -0.442 eV/atom

---

7.
Material: CsHgAs2Br
Method: DFT, GGA-PBE
State: optimized geometry

abc: 5.2770 5.2770 6.8245
angles: 90.00 90.00 90.00
Sites, in units of the cell vectors:
Cs: 0.0000 0.0000 0.0000
Hg: 0.5000 0.5000 0.5000
As: 0.0000 0.5000 0.5000
As: 0.5000 0.0000 0.5000
Br: 0.5000 0.5000 0.0000

Total energy ... -12.0 eV for the cell shown
ΔE_f (raw) ... 0.030 eV/atom

---

8.
Material: Cs2HgAsBr6
Method: DFT, GGA-PBE
State: optimized geometry

abc: 8.0103 8.0103 8.0103
angles: 60.00 60.00 60.00
Sites, in units of the cell vectors:
Cs: 0.2500 0.2500 0.2500
Cs: 0.7500 0.7500 0.7500
Hg: 0.0000 0.0000 0.0000
As: 0.5000 0.5000 0.5000
Br: 0.2627 0.2627 0.7373
Br: 0.2627 0.7373 0.2627
Br: 0.2627 0.7373 0.7373
Br: 0.7373 0.2627 0.2627
Br: 0.7373 0.2627 0.7373
Br: 0.7373 0.7373 0.2627

Total energy ... -26.4 eV for the cell shown
ΔE_f (raw) ... -0.971 eV/atom

---

9.
Material: CsHgAs2Br
Method: DFT, GGA-PBE
State: optimized geometry

abc: 6.0909 6.0909 6.4604
angles: 90.00 90.00 90.00
Sites, in units of the cell vectors:
Cs: 0.0000 0.0000 0.0000
Hg: 0.5000 0.5000 0.5000
As: 0.0000 0.5000 0.0000
As: 0.5000 0.0000 0.0000
Br: 0.0000 0.0000 0.5000

Total energy ... -7.5 eV for the cell shown
ΔE_f (raw) ... 0.920 eV/atom

---

10.
Material: CsAsIBr2
Method: DFT, GGA-PBE
State: optimized geometry

abc: 6.5180 6.5180 5.2278
angles: 90.00 90.00 90.00
Sites, in units of the cell vectors:
Cs: 0.0000 0.0000 0.0000
As: 0.5000 0.5000 0.0000
I: 0.5000 0.5000 0.5000
Br: 0.0000 0.5000 0.5000
Br: 0.5000 0.0000 0.5000

Total energy ... -11.6 eV for the cell shown
ΔE_f (raw) ... -0.230 eV/atom

---

11.
Material: CsAsIBr2
Method: DFT, GGA-PBE
State: optimized geometry

abc: 5.5779 5.5779 5.8519
angles: 90.00 90.00 90.00
Sites, in units of the cell vectors:
Cs: 0.0000 0.0000 0.0000
As: 0.5000 0.5000 0.5000
I: 0.5000 0.5000 0.0000
Br: 0.0000 0.5000 0.5000
Br: 0.5000 0.0000 0.5000

Total energy ... -14.4 eV for the cell shown
ΔE_f (raw) ... -0.803 eV/atom

---

12.
Material: CsAsIBr2
Method: DFT, GGA-PBE
State: optimized geometry

abc: 6.1968 6.1968 6.5348
angles: 90.00 90.00 90.00
Sites, in units of the cell vectors:
Cs: 0.0000 0.0000 0.0000
As: 0.0000 0.0000 0.5000
I: 0.5000 0.5000 0.5000
Br: 0.0000 0.5000 0.0000
Br: 0.5000 0.0000 0.0000

Total energy ... -8.0 eV for the cell shown
ΔE_f (raw) ... 0.477 eV/atom

---

13.
Material: CsAsI2Br
Method: DFT, GGA-PBE
State: optimized geometry

abc: 5.8956 5.8956 5.5847
angles: 90.00 90.00 90.00
Sites, in units of the cell vectors:
Cs: 0.0000 0.0000 0.0000
As: 0.5000 0.5000 0.5000
I: 0.0000 0.5000 0.5000
I: 0.5000 0.0000 0.5000
Br: 0.5000 0.5000 0.0000

Total energy ... -14.0 eV for the cell shown
ΔE_f (raw) ... -0.736 eV/atom

---

14.
Material: Cs2AsI4Br2
Method: DFT, GGA-PBE
State: optimized geometry

abc: 8.3863 8.3863 8.3863
angles: 124.61 124.61 82.18
Sites, in units of the cell vectors:
Cs: 0.2500 0.7500 0.5000
Cs: 0.7500 0.2500 0.5000
As: 0.0000 0.0000 0.0000
I: 0.2579 0.2579 0.5158
I: 0.2579 0.7421 0.0000
I: 0.7421 0.2579 0.0000
I: 0.7421 0.7421 0.4842
Br: 0.2118 0.2118 0.0000
Br: 0.7882 0.7882 0.0000

Total energy ... -23.5 eV for the cell shown
ΔE_f (raw) ... -0.842 eV/atom

---

15.
Material: CsAs2IBr
Method: DFT, GGA-PBE
State: optimized geometry

abc: 5.3649 5.3649 7.8628
angles: 90.00 90.00 90.00
Sites, in units of the cell vectors:
Cs: 0.0000 0.0000 0.0000
As: 0.0000 0.5000 0.5000
As: 0.5000 0.0000 0.5000
I: 0.5000 0.5000 0.5000
Br: 0.5000 0.5000 0.0000

Total energy ... -12.4 eV for the cell shown
ΔE_f (raw) ... 0.204 eV/atom

---

16.
Material: CsAs2IBr
Method: DFT, GGA-PBE
State: optimized geometry

abc: 6.2380 6.2380 6.2006
angles: 90.00 90.00 90.00
Sites, in units of the cell vectors:
Cs: 0.0000 0.0000 0.0000
As: 0.0000 0.5000 0.0000
As: 0.5000 0.0000 0.0000
I: 0.5000 0.5000 0.5000
Br: 0.0000 0.0000 0.5000

Total energy ... -8.2 eV for the cell shown
ΔE_f (raw) ... 1.029 eV/atom

---

17.
Material: CsInAsBr2
Method: DFT, GGA-PBE
State: optimized geometry

abc: 5.9193 5.9193 5.3910
angles: 90.00 90.00 90.00
Sites, in units of the cell vectors:
Cs: 0.0000 0.0000 0.0000
In: 0.5000 0.5000 0.5000
As: 0.5000 0.5000 0.0000
Br: 0.0000 0.5000 0.5000
Br: 0.5000 0.0000 0.5000

Total energy ... -14.7 eV for the cell shown
ΔE_f (raw) ... -0.618 eV/atom

---

18.
Material: CsInAs2Br
Method: DFT, GGA-PBE
State: optimized geometry

abc: 6.1153 6.1153 6.5925
angles: 90.00 90.00 90.00
Sites, in units of the cell vectors:
Cs: 0.0000 0.0000 0.0000
In: 0.5000 0.5000 0.5000
As: 0.0000 0.5000 0.0000
As: 0.5000 0.0000 0.0000
Br: 0.0000 0.0000 0.5000

Total energy ... -10.5 eV for the cell shown
ΔE_f (raw) ... 0.820 eV/atom

---

19.
Material: CsInAs2Br
Method: DFT, GGA-PBE
State: optimized geometry

abc: 5.3137 5.3137 6.4412
angles: 90.00 90.00 90.00
Sites, in units of the cell vectors:
Cs: 0.0000 0.0000 0.0000
In: 0.5000 0.5000 0.5000
As: 0.0000 0.5000 0.5000
As: 0.5000 0.0000 0.5000
Br: 0.5000 0.5000 0.0000

Total energy ... -15.1 eV for the cell shown
ΔE_f (raw) ... -0.098 eV/atom

---

20.
Material: Cs2AsIrBr6
Method: DFT, GGA-PBE
State: optimized geometry

abc: 7.6417 7.6417 7.6417
angles: 120.15 120.15 89.74
Sites, in units of the cell vectors:
Cs: 0.2500 0.7500 0.5000
Cs: 0.7500 0.2500 0.5000
As: 0.0000 0.0000 0.0000
Ir: 0.5000 0.5000 0.0000
Br: 0.2605 0.2605 0.0000
Br: 0.2600 0.2600 0.5200
Br: 0.2600 0.7400 0.0000
Br: 0.7400 0.2600 0.0000
Br: 0.7395 0.7395 0.0000
Br: 0.7400 0.7400 0.4800

Total energy ... -32.4 eV for the cell shown
ΔE_f (raw) ... -0.719 eV/atom

---

21.
Material: CsK2AsBr6
Method: DFT, GGA-PBE
State: optimized geometry

abc: 8.5486 8.5486 8.5486
angles: 57.04 57.04 57.04
Sites, in units of the cell vectors:
Cs: 0.0000 0.0000 0.0000
K: 0.2827 0.2827 0.2827
K: 0.8004 0.8004 0.8004
As: 0.4853 0.4853 0.4853
Br: 0.1463 0.6656 0.4162
Br: 0.2689 0.5760 0.8223
Br: 0.4162 0.1463 0.6656
Br: 0.5760 0.8223 0.2689
Br: 0.6656 0.4162 0.1463
Br: 0.8223 0.2689 0.5760

Total energy ... -29.9 eV for the cell shown
ΔE_f (raw) ... -1.214 eV/atom

---

22.
Material: Cs2KAsBr6
Method: DFT, GGA-PBE
State: optimized geometry

abc: 8.1834 8.3141 14.2297
angles: 90.00 124.77 90.00
Sites, in units of the cell vectors:
Cs: 0.2370 0.0488 0.2486
Cs: 0.2370 0.4512 0.7486
Cs: 0.7630 0.5488 0.2514
Cs: 0.7630 0.9512 0.7514
K: 0.5000 0.0000 0.0000
K: 0.5000 0.5000 0.5000
As: 0.0000 0.0000 0.5000
As: 0.0000 0.5000 0.0000
Br: 0.1530 0.2358 0.9691
Br: 0.1530 0.2642 0.4691
Br: 0.2316 0.6862 0.9675
Br: 0.2316 0.8138 0.4675
Br: 0.2856 0.0065 0.7250
Br: 0.2856 0.4935 0.2250
Br: 0.7144 0.5065 0.7750
Br: 0.7144 0.9935 0.2750
Br: 0.7684 0.1862 0.5325
Br: 0.7684 0.3138 0.0325
Br: 0.8470 0.7358 0.5309
Br: 0.8470 0.7642 0.0309

Total energy ... -60.2 eV for the cell shown
ΔE_f (raw) ... -1.260 eV/atom

---

23.
Material: CsK2AsBr6
Method: DFT, GGA-PBE
State: optimized geometry

abc: 8.5105 8.5105 8.5105
angles: 60.00 60.00 60.00
Sites, in units of the cell vectors:
Cs: 0.0000 0.0000 0.0000
K: 0.2500 0.2500 0.2500
K: 0.7500 0.7500 0.7500
As: 0.5000 0.5000 0.5000
Br: 0.2789 0.2789 0.7211
Br: 0.2789 0.7211 0.2789
Br: 0.2789 0.7211 0.7211
Br: 0.7211 0.2789 0.2789
Br: 0.7211 0.2789 0.7211
Br: 0.7211 0.7211 0.2789

Total energy ... -29.0 eV for the cell shown
ΔE_f (raw) ... -1.124 eV/atom

---

24.
Material: Cs2KAsBr6
Method: DFT, GGA-PBE
State: optimized geometry

abc: 8.2530 8.2530 8.2530
angles: 60.00 60.00 60.00
Sites, in units of the cell vectors:
Cs: 0.2500 0.2500 0.2500
Cs: 0.7500 0.7500 0.7500
K: 0.0000 0.0000 0.0000
As: 0.5000 0.5000 0.5000
Br: 0.2715 0.2715 0.7285
Br: 0.2715 0.7285 0.2715
Br: 0.2715 0.7285 0.7285
Br: 0.7285 0.2715 0.2715
Br: 0.7285 0.2715 0.7285
Br: 0.7285 0.7285 0.2715

Total energy ... -30.0 eV for the cell shown
ΔE_f (raw) ... -1.252 eV/atom

---

25.
Material: Cs2LaAsBr6
Method: DFT, GGA-PBE
State: optimized geometry

abc: 8.8797 8.8797 8.8797
angles: 126.89 126.89 78.43
Sites, in units of the cell vectors:
Cs: 0.2500 0.7500 0.5000
Cs: 0.7500 0.2500 0.5000
La: 0.0000 0.0000 0.0000
As: 0.5000 0.5000 0.0000
Br: 0.2127 0.2127 0.0000
Br: 0.2600 0.2600 0.5200
Br: 0.2600 0.7400 0.0000
Br: 0.7400 0.2600 0.0000
Br: 0.7400 0.7400 0.4800
Br: 0.7873 0.7873 0.0000

Total energy ... -35.1 eV for the cell shown
ΔE_f (raw) ... -1.376 eV/atom

---

26.
Material: CsMgAs2Br
Method: DFT, GGA-PBE
State: optimized geometry

abc: 5.2000 5.2000 6.0497
angles: 90.00 90.00 90.00
Sites, in units of the cell vectors:
Cs: 0.0000 0.0000 0.0000
Mg: 0.5000 0.5000 0.5000
As: 0.0000 0.5000 0.5000
As: 0.5000 0.0000 0.5000
Br: 0.5000 0.5000 0.0000

Total energy ... -14.7 eV for the cell shown
ΔE_f (raw) ... -0.251 eV/atom